[1]
VASP calculation (PBE-GGA) on a relaxed PaHgTe2 crystal.

Cell lengths 4.3117, 4.3117, 11.4524 Å; angles 79.15, 79.15, 60.00 degrees
Closest atoms and distances in Å follow each position.
Element x y z (fractional)
Hg: 0.0000 0.0000 0.0000  2 Te 3.78
Pa: 0.5000 0.5000 0.5000  6 Te 3.07
Te: 0.8871 0.8871 0.3386  3 Pa 3.07
Te: 0.1129 0.1129 0.6614  3 Pa 3.07

## Properties
Calculated total energy   -4.58 eV per atom
V   44.994 Å³/atom
DOS(E_F)   1.2993 states/eV/atom
E above lowest polymorph   0.13 eV per formula unit
Formation energy without anion corrections   -0.555 eV/atom
Symmetry   No. 166



[2]
VASP calculation (PBE-GGA) on a relaxed LaErThIn crystal.

Cell lengths 5.5433, 5.5433, 5.5433 Å; angles 60.00, 60.00, 60.00 degrees
Closest atoms and distances in Å follow each position.
Element x y z (fractional)
In: 0.7500 0.7500 0.7500  4 La 3.39, 4 Er 3.39
Er: 0.5000 0.5000 0.5000  4 In 3.39, 4 Th 3.39
La: 0.0000 0.0000 0.0000  4 In 3.39, 4 Th 3.39
Th: 0.2500 0.2500 0.2500  4 La 3.39, 4 Er 3.39

## Properties
Calculated total energy   -4.95 eV per atom
Calculated formation energy   -0.041 eV per atom
V   30.111 Å³/atom
DOS(E_F)   1.4246 states/eV/atom
Symmetry   No. 216



[3]
VASP calculation (PBE-GGA) on a relaxed Na3Mn2Se4 crystal.

Cell lengths 6.7275, 8.3146, 8.3146 Å; angles 76.38, 88.33, 88.33 degrees
Closest atoms and distances in Å follow each position.
Element x y z (fractional)
Se: 0.5650 0.7395 0.5689  2 Mn 2.46-2.47
Na: 0.9598 0.7507 0.0100  5 Se 2.97-3.20
Mn: 0.9079 0.8286 0.5809  4 Se 2.46-2.51
Na: 0.2500 0.6067 0.3933  6 Se 2.99-3.13
Mn: 0.0921 0.1714 0.4191  4 Se 2.46-2.51
Na: 0.4598 0.0100 0.7507  5 Se 2.97-3.20
Se: 0.0650 0.5689 0.7395  2 Mn 2.46-2.47
Mn: 0.4079 0.5809 0.8286  4 Se 2.46-2.51
Mn: 0.5921 0.4191 0.1714  4 Se 2.46-2.51
Se: 0.4350 0.2605 0.4311  2 Mn 2.46-2.47
Se: 0.0123 0.9429 0.2845  2 Mn 2.50-2.51
Na: 0.7500 0.3933 0.6067  6 Se 2.99-3.13
Se: 0.4877 0.7155 0.0571  2 Mn 2.50-2.51
Na: 0.5402 0.9900 0.2493  5 Se 2.97-3.20
Se: 0.9877 0.0571 0.7155  2 Mn 2.50-2.51
Se: 0.5123 0.2845 0.9429  2 Mn 2.50-2.51
Na: 0.0402 0.2493 0.9900  5 Se 2.97-3.20
Se: 0.9350 0.4311 0.2605  2 Mn 2.46-2.47

## Properties
Calculated total energy   -4.80 eV per atom
V   25.094 Å³/atom
DOS(E_F)   0.3133 states/eV/atom
Formation energy without anion corrections   -0.778 eV/atom
Symmetry   No. 15



[4]
VASP calculation (PBE-GGA) on a relaxed Nd2DyNb crystal.

Cell lengths 3.3617, 3.3617, 11.9478 Å; angles 81.91, 81.91, 60.00 degrees
Closest atoms and distances in Å follow each position.
Element x y z (fractional)
Nd: 0.0826 0.0826 0.7523  1 Nb 2.92
Nd: 0.9174 0.9174 0.2477  1 Nb 2.92
Nb: 0.0000 0.0000 0.0000  2 Nd 2.92
Dy: 0.5000 0.5000 0.5000  6 Dy 3.36, 6 Nd 3.55

## Properties
Calculated total energy   -5.47 eV per atom
Calculated formation energy   0.578 eV per atom
V   28.845 Å³/atom
DOS(E_F)   1.3717 states/eV/atom
Symmetry   No. 166



[5]
VASP calculation (PBE-GGA) on a relaxed Th2PaFe2 crystal.

Cell lengths 6.0565, 6.0565, 6.9842 Å; angles 83.21, 83.21, 60.24 degrees
Closest atoms and distances in Å follow each position.
Element x y z (fractional)
Th: 0.5549 0.7490 0.8492  2 Fe 2.72-2.82
Fe: 0.9457 0.7360 0.0408  1 Pa 2.36
Th: 0.2510 0.4451 0.6508  2 Fe 2.72-2.82
Fe: 0.2640 0.0543 0.4592  1 Pa 2.36
Fe: 0.7360 0.9457 0.5408  1 Pa 2.36
Pa: 0.0885 0.9115 0.2500  2 Fe 2.36
Fe: 0.0543 0.2640 0.9592  1 Pa 2.36
Pa: 0.9115 0.0885 0.7500  2 Fe 2.36
Th: 0.7490 0.5549 0.3492  2 Fe 2.72-2.82
Th: 0.4451 0.2510 0.1508  2 Fe 2.72-2.82

## Properties
Calculated total energy   -8.44 eV per atom
Calculated formation energy   -0.184 eV per atom
V   22.032 Å³/atom
DOS(E_F)   1.2458 states/eV/atom
Symmetry   No. 15



[6]
VASP calculation (PBE-GGA) on a relaxed Ta2InSnAu crystal.

Cell lengths 5.0910, 5.1066, 5.0910 Å; angles 90.00, 90.00, 90.00 degrees
Closest atoms and distances in Å follow each position.
Element x y z (fractional)
In: 0.5000 0.5000 0.5000  4 Sn 3.60, 8 Ta 3.61
Ta: 0.0000 0.0000 0.5000  2 Au 2.55
Sn: 0.0000 0.5000 0.0000  2 Au 2.55
Ta: 0.5000 0.0000 0.0000  2 Au 2.55
Au: 0.0000 0.0000 0.0000  4 Ta 2.55, 2 Sn 2.55

## Properties
Calculated total energy   -5.32 eV per atom
Calculated formation energy   1.426 eV per atom
V   26.470 Å³/atom
DOS(E_F)   1.3742 states/eV/atom
Symmetry   No. 123



[7]
VASP calculation (PBE-GGA) on a relaxed Ti2BeCdC crystal.

Cell lengths 4.3122, 4.3122, 3.6357 Å; angles 90.00, 90.00, 90.00 degrees
Closest atoms and distances in Å follow each position.
Element x y z (fractional)
C: 0.0000 0.0000 0.0000  2 Be 1.82
Ti: 0.0000 0.5000 0.0000  2 C 2.16
Cd: 0.5000 0.5000 0.5000  8 Ti 2.82, 4 Be 3.05
Be: 0.0000 0.0000 0.5000  2 C 1.82
Ti: 0.5000 0.0000 0.0000  2 C 2.16

## Properties
Calculated total energy   -6.13 eV per atom
Calculated formation energy   -0.194 eV per atom
V   13.521 Å³/atom
DOS(E_F)   0.4024 states/eV/atom
Symmetry   No. 123



[8]
VASP calculation (PBE-GGA) on a relaxed Dy2GaCo crystal.

Cell lengths 3.4315, 3.4315, 7.1021 Å; angles 90.00, 90.00, 90.00 degrees
Closest atoms and distances in Å follow each position.
Element x y z (fractional)
Co: 0.5000 0.5000 0.0000  8 Dy 2.92
Dy: 0.0000 0.0000 0.2298  4 Co 2.92, 4 Ga 3.09, 1 Dy 3.26
Dy: 0.0000 0.0000 0.7702  4 Co 2.92, 4 Ga 3.09, 1 Dy 3.26
Ga: 0.5000 0.5000 0.5000  8 Dy 3.09, 4 Ga 3.43

## Properties
Calculated total energy   -5.21 eV per atom
Calculated formation energy   -0.374 eV per atom
V   20.907 Å³/atom
DOS(E_F)   0.3819 states/eV/atom
E above lowest polymorph   0.11 eV per formula unit
Symmetry   No. 123



[9]
VASP calculation (PBE-GGA) on a relaxed CdW2Br crystal.

Cell lengths 5.6790, 5.6790, 5.6790 Å; angles 139.53, 139.53, 58.56 degrees
Closest atoms and distances in Å follow each position.
Element x y z (fractional)
W: 0.5000 0.5000 0.0000  4 W 2.78
Br: 0.2500 0.7500 0.5000  4 Cd 2.78
Cd: 0.7500 0.2500 0.5000  4 Br 2.78
W: 0.0000 0.0000 0.0000  4 W 2.78

## Properties
Calculated total energy   -5.71 eV per atom
V   19.108 Å³/atom
DOS(E_F)   0.7934 states/eV/atom
E above lowest polymorph   4.12 eV per formula unit
Formation energy without anion corrections   1.415 eV/atom
Symmetry   No. 139



[10]
VASP calculation (PBE-GGA) on a relaxed Ac4Ag2Hg crystal.

Cell lengths 8.5992, 8.5992, 8.5992 Å; angles 108.62, 111.19, 108.62 degrees
Closest atoms and distances in Å follow each position.
Element x y z (fractional)
Ag: 0.3750 0.8770 0.7520  4 Ac 3.22-3.28
Ac: 0.6199 0.7447 0.0078  2 Ag 3.22-3.28, 2 Hg 3.34-3.55
Ag: 0.5020 0.3770 0.6250  4 Ac 3.22-3.28
Ac: 0.7578 0.2447 0.8699  2 Ag 3.22-3.28, 2 Hg 3.34-3.55
Ac: 0.1248 0.3879 0.3801  2 Ag 3.22-3.28, 2 Hg 3.34-3.55
Ac: 0.4869 0.1121 0.2422  2 Ag 3.22-3.28, 2 Hg 3.34-3.55
Ac: 0.9922 0.6121 0.7369  2 Ag 3.22-3.28, 2 Hg 3.34-3.55
Hg: 0.7500 0.5000 0.2500  8 Ac 3.34-3.55
Hg: 0.0000 0.0000 0.0000  8 Ac 3.34-3.55
Ac: 0.1301 0.8879 0.3748  2 Ag 3.22-3.28, 2 Hg 3.34-3.55
Ag: 0.8750 0.1230 0.4980  4 Ac 3.22-3.28
Ag: 0.2480 0.6230 0.1250  4 Ac 3.22-3.28
Ac: 0.2631 0.2553 0.8752  2 Ag 3.22-3.28, 2 Hg 3.34-3.55
Ac: 0.6252 0.7553 0.5131  2 Ag 3.22-3.28, 2 Hg 3.34-3.55

## Properties
Calculated total energy   -3.40 eV per atom
Calculated formation energy   -0.195 eV per atom
V   34.940 Å³/atom
DOS(E_F)   1.3237 states/eV/atom
E above lowest polymorph   0.02 eV per formula unit
Symmetry   No. 122



[11]
VASP calculation (PBE-GGA) on a relaxed Li2AgCl3 crystal.

Cell lengths 3.9946, 5.4219, 6.5494 Å; angles 114.45, 90.00, 90.00 degrees
Closest atoms and distances in Å follow each position.
Element x y z (fractional)
Cl: 0.5000 0.8421 0.6841  1 Li 2.37
Cl: 0.0000 0.5000 0.0000  4 Li 2.63, 2 Ag 2.71
Li: 0.5000 0.3571 0.7141  3 Cl 2.37-2.63
Li: 0.5000 0.6429 0.2859  3 Cl 2.37-2.63
Cl: 0.5000 0.1579 0.3159  1 Li 2.37
Ag: 0.0000 0.0000 0.0000  6 Cl 2.71-2.75

## Properties
Calculated total energy   -3.33 eV per atom
V   21.521 Å³/atom
DOS(E_F)   0.0000 states/eV/atom
E above lowest polymorph   0.44 eV per formula unit
Formation energy without anion corrections   -1.290 eV/atom
Symmetry   No. 65